This record from Alexandria via LeMat-Bulk describes a geometry-optimized V2O3F3 structure. The functional is PBE+U.

## Properties
Energy = -6.657 eV/atom

Geometry as CIF:
```
data_V2O3F3
_cell_length_a 5.279
_cell_length_b 5.331
_cell_length_c 13.162
_cell_angle_alpha 89.19
_cell_angle_beta 89.29
_cell_angle_gamma 60.58
_space_group_name_H-M_alt 'P 1'
_space_group_IT_number 1
_space_group_name_Hall 'P 1'
loop_
_atom_site_label
_atom_site_type_symbol
_atom_site_fract_x
_atom_site_fract_y
_atom_site_fract_z
_atom_site_occupancy
V1 V 0.000 0.000 0.000 1
V2 V 0.018 0.957 0.518 1
V3 V 0.373 0.306 0.840 1
V4 V 0.407 0.300 0.345 1
V5 V 0.670 0.640 0.670 1
V6 V 0.705 0.675 0.183 1
O1 O 0.147 0.171 0.935 1
O2 O 0.396 0.736 0.588 1
O3 O 0.480 0.496 0.262 1
O4 O 0.556 0.413 0.761 1
O5 O 0.575 0.957 0.264 1
O6 O 0.681 0.187 0.429 1
O7 O 0.700 0.079 0.933 1
O8 O 0.842 0.848 0.601 1
O9 O 0.906 0.745 0.101 1
F1 F 0.018 0.406 0.264 1
F2 F 0.124 0.626 0.424 1
F3 F 0.231 0.079 0.425 1
F4 F 0.247 0.629 0.938 1
F5 F 0.372 0.823 0.100 1
F6 F 0.448 0.964 0.764 1
F7 F 0.822 0.277 0.102 1
F8 F 0.954 0.293 0.598 1
F9 F 0.995 0.529 0.772 1
```